Model P:
The following is a DFT calculation (PBE) of crystalline PaMn2Tc at its relaxed geometry.

## Properties
- SG = P4/mmm, No. 123
- crystal system = tetragonal
- total magnetization (Bohr magnetons per cell) = 6.5
- density of states at the Fermi level (states/eV/cell) = 5.70

abc: 4.493 3.857 3.857
angles: 90.00 90.00 90.00
Each line ends with the local moment (μB).
Fractional coordinates of all 4 atoms:
1 Tc 0.500 0.500 0.500  0.24
2 Pa 0.500 0.000 0.000  -0.08
3 Mn 0.000 0.000 0.500  3.02
4 Mn 0.000 0.500 0.000  3.02

=====

Model Q:
The following is a DFT calculation (PBE) of crystalline PaMn2Tc at its relaxed geometry.

## Properties
- SG = Fm-3m, No. 225
- crystal system = cubic
- total magnetization (Bohr magnetons per cell) = 3.5
- density of states at the Fermi level (states/eV/cell) = 7.20

abc: 4.440 4.440 4.439
angles: 60.00 60.00 60.00
Each line ends with the local moment (μB).
Fractional coordinates of all 4 atoms:
1 Pa 0.500 0.500 0.500  -0.21
2 Mn 0.750 0.750 0.749  1.79
3 Mn 0.250 0.250 0.251  1.79
4 Tc 0.000 0.000 0.000  0.12

=====

Model R:
The following is a DFT calculation (PBE) of crystalline PaMn2Tc at its relaxed geometry.

## Properties
- SG = P4/mmm, No. 123
- crystal system = tetragonal
- total magnetization (Bohr magnetons per cell) = 0.0
- density of states at the Fermi level (states/eV/cell) = 5.17

abc: 2.931 2.931 7.048
angles: 90.00 90.00 90.00
Fractional coordinates of all 4 atoms:
1 Mn 0.000 0.000 0.202
2 Mn 0.000 0.000 0.798
3 Pa 0.500 0.500 0.500
4 Tc 0.500 0.500 0.000

=====

What should be chosen as the least stable of them? Choose model Q.

=====

Model P:
The following is a DFT calculation (PBE) of crystalline PaMnTc at its relaxed geometry.

## Properties
- SG = I4mm, No. 107
- crystal system = tetragonal
- total magnetization (Bohr magnetons per cell) = 2.7
- density of states at the Fermi level (states/eV/cell) = 3.33

abc: 3.426 3.426 5.144
angles: 109.45 109.45 90.00
Each line ends with the local moment (μB).
Fractional coordinates of all 3 atoms:
1 Mn 0.335 0.335 0.669  2.80
2 Pa 0.661 0.661 0.322  -0.27
3 Tc 0.004 0.004 0.009  0.21

=====

Model Q:
The following is a DFT calculation (PBE) of crystalline PaMnTc at its relaxed geometry.

## Properties
- SG = P3m1, No. 156
- crystal system = trigonal
- total magnetization (Bohr magnetons per cell) = 2.6
- density of states at the Fermi level (states/eV/cell) = 2.79

abc: 2.961 4.473 4.473
angles: 120.00 90.00 90.00
Each line ends with the local moment (μB).
Fractional coordinates of all 3 atoms:
1 Pa 0.361 0.667 0.333  -0.37
2 Tc 0.616 0.333 0.667  0.28
3 Mn 0.024 0.000 0.000  2.67

=====

Model R:
The following is a DFT calculation (PBE) of crystalline PaMnTc at its relaxed geometry.

## Properties
- SG = Imma, No. 74
- crystal system = orthorhombic
- total magnetization (Bohr magnetons per cell) = 3.5
- density of states at the Fermi level (states/eV/cell) = 9.77

abc: 5.088 5.245 5.245
angles: 63.14 60.99 60.99
Each line ends with the local moment (μB).
Fractional coordinates of all 6 atoms:
1 Mn 0.500 0.000 0.000  2.08
2 Mn 0.000 0.000 0.000  2.08
3 Tc 0.500 0.000 0.500  0.02
4 Tc 0.500 0.500 0.000  0.02
5 Pa 0.127 0.623 0.623  -0.36
6 Pa 0.873 0.377 0.377  -0.36

=====

What should be chosen as the least stable of them? Choose model P.

=====

Model P:
The following is a DFT calculation (PBE) of crystalline ThPaMn at its relaxed geometry.

## Properties
- SG = P-6m2, No. 187
- crystal system = hexagonal
- total magnetization (Bohr magnetons per cell) = 0.0
- density of states at the Fermi level (states/eV/cell) = 3.77

abc: 4.089 4.089 5.126
angles: 90.00 90.00 120.00
Fractional coordinates of all 3 atoms:
1 Th 0.000 0.000 0.000
2 Pa 0.667 0.333 0.500
3 Mn 0.333 0.667 0.500

=====

Model Q:
The following is a DFT calculation (PBE) of crystalline ThPaMn at its relaxed geometry.

## Properties
- SG = I4mm, No. 107
- crystal system = tetragonal
- total magnetization (Bohr magnetons per cell) = 0.7
- density of states at the Fermi level (states/eV/cell) = 3.64

abc: 3.468 3.468 6.086
angles: 106.56 106.56 90.00
Each line ends with the local moment (μB).
Fractional coordinates of all 3 atoms:
1 Pa 0.302 0.302 0.605  -0.23
2 Mn 0.693 0.693 0.385  1.04
3 Th 0.005 0.005 0.010  -0.07

=====

Model R:
The following is a DFT calculation (PBE) of crystalline ThPaMn at its relaxed geometry.

## Properties
- SG = C2/m, No. 12
- crystal system = monoclinic
- total magnetization (Bohr magnetons per cell) = 0.0
- density of states at the Fermi level (states/eV/cell) = 13.93

abc: 3.563 9.053 8.504
angles: 98.36 90.00 90.00
Fractional coordinates of all 12 atoms:
1 Pa 0.001 0.813 0.912
2 Pa 0.499 0.313 0.412
3 Pa 0.501 0.687 0.588
4 Pa 0.999 0.187 0.088
5 Th 0.500 0.068 0.725
6 Th 0.500 0.932 0.275
7 Th 0.000 0.568 0.225
8 Th 0.000 0.432 0.775
9 Mn 0.000 0.158 0.486
10 Mn 0.500 0.658 0.986
11 Mn 0.500 0.342 0.014
12 Mn 0.000 0.842 0.514

=====

Model S:
The following is a DFT calculation (PBE) of crystalline ThPaMn at its relaxed geometry.

## Properties
- SG = P2_1/c, No. 14
- crystal system = monoclinic
- total magnetization (Bohr magnetons per cell) = 0.0
- density of states at the Fermi level (states/eV/cell) = 16.02

abc: 5.860 6.768 7.413
angles: 103.23 90.00 90.00
Fractional coordinates of all 12 atoms:
1 Pa 0.857 0.295 0.136
2 Pa 0.357 0.205 0.364
3 Pa 0.643 0.795 0.636
4 Pa 0.143 0.705 0.864
5 Th 0.384 0.208 0.898
6 Th 0.616 0.792 0.102
7 Th 0.884 0.292 0.602
8 Th 0.116 0.708 0.398
9 Mn 0.090 0.008 0.173
10 Mn 0.910 0.992 0.827
11 Mn 0.410 0.508 0.673
12 Mn 0.590 0.492 0.327

=====

What should be chosen as the least stable of them? Choose model P.

=====

Model P:
The following is a DFT calculation (PBE) of crystalline TmPa2Mn at its relaxed geometry.

## Properties
- SG = P4/mmm, No. 123
- crystal system = tetragonal
- total magnetization (Bohr magnetons per cell) = 0.0
- density of states at the Fermi level (states/eV/cell) = 11.20

abc: 3.200 3.200 8.899
angles: 90.00 90.00 90.00
Fractional coordinates of all 4 atoms:
1 Tm 0.500 0.500 0.500
2 Mn 0.500 0.500 0.000
3 Pa 0.000 0.000 0.808
4 Pa 0.000 0.000 0.192

=====

Model Q:
The following is a DFT calculation (PBE) of crystalline TmPa2Mn at its relaxed geometry.

## Properties
- SG = R-3m, No. 166
- crystal system = trigonal
- total magnetization (Bohr magnetons per cell) = 0.0
- density of states at the Fermi level (states/eV/cell) = 6.32

abc: 3.587 3.587 8.856
angles: 78.32 78.32 60.00
Fractional coordinates of all 4 atoms:
1 Mn 0.000 0.000 0.000
2 Tm 0.500 0.500 0.500
3 Pa 0.727 0.727 0.819
4 Pa 0.273 0.273 0.181

=====

What should be chosen as the least stable of them? Choose model P.